No. 1
First-principles (PBE) data for a relaxed structure of PaH3Rh4, as listed in Alexandria via LeMat-Bulk.

POSCAR file:
```
PaH3Rh4
1.0
-4.7200 -0.2476 -0.9609
0.9908 -0.9262 -4.6286
0.0531 -4.7270 0.9573
Pa H Rh
1 3 4
Cartesian
0.0000 0.0000 0.0000
0.5220 -2.8266 -1.8357
-2.3335 -2.4873 -0.0018
-1.8646 -0.5869 -2.7947
-2.3600 -0.1238 -0.4804
0.4954 -0.4631 -2.3143
0.0265 -2.3635 0.4786
-1.8381 -2.9504 -2.3161
```

- DOS at the Fermi energy: 2.10 states/eV/f.u.
- SG: No. 221
- Total DFT energy (no corrections): -5.582 eV/atom
- Total magnetic moment: 0.0 Bohr magnetons per cell

No. 2
First-principles (PBE) data for a relaxed structure of In3Ga3Bi, as listed in Alexandria via LeMat-Bulk.

POSCAR file:
```
In3Ga3Bi
1.0
7.6658 0.0000 0.0000
0.0000 7.6658 0.0000
0.0000 0.0000 7.6658
Bi Ga In
2 6 6
Cartesian
3.8329 3.8329 3.8329
0.0000 0.0000 0.0000
0.0000 1.9164 3.8329
0.0000 5.7493 3.8329
3.8329 0.0000 5.7493
5.7493 3.8329 0.0000
3.8329 0.0000 1.9164
1.9164 3.8329 0.0000
1.9164 0.0000 3.8329
0.0000 3.8329 1.9164
3.8329 5.7493 0.0000
5.7493 0.0000 3.8329
0.0000 3.8329 5.7493
3.8329 1.9164 0.0000
```

- Formation enthalpy at 0 K: 0.49 eV/atom
- DOS at the Fermi energy: 8.84 states/eV/f.u.
- SG: No. 223
- Total DFT energy (no corrections): -2.532 eV/atom
- Total magnetic moment: 1.2 Bohr magnetons per cell
- Polymorph energy (0 for the lowest one): 436 meV per atom

Q: Which formula does entry 1 have?
A: PaH3Rh4

Q: Which of these has the lowest total magnetic moment?
A: PaH3Rh4

Q: The highest total DFT energy (no corrections) belongs to which entry?
A: In3Ga3Bi